# GGA-PBE V2Ga2Ru, optimized geometry
data_V2Ga2Ru
_symmetry_space_group_name_H-M 'I 4/m m m'
_symmetry_Int_Tables_number 139
_symmetry_space_group_name_Hall '-I 4 2'
_cell_length_a 3.4183
_cell_length_b 3.4183
_cell_length_c 12.7010
_cell_angle_alpha 90.00
_cell_angle_beta 90.00
_cell_angle_gamma 90.00
loop_
_atom_site_label
_atom_site_type_symbol
_atom_site_fract_x
_atom_site_fract_y
_atom_site_fract_z
V1 V 0.0000 0.5000 0.2500
Ga1 Ga 0.0000 0.0000 0.0949
Ru1 Ru 0.0000 0.0000 0.5000
# DOS(E_F) = 0.860 states/eV per atom
# Calculated total energy = -6.5505 eV per atom
# Energy relative to the elements = 15.7 kJ per mole of atoms

# GGA-PBE VGa3Ru, optimized geometry
data_VGa3Ru
_symmetry_space_group_name_H-M 'P m -3 m'
_symmetry_Int_Tables_number 221
_symmetry_space_group_name_Hall '-P 4 2 3'
_cell_length_a 4.7234
_cell_length_b 4.7234
_cell_length_c 4.7234
_cell_angle_alpha 90.00
_cell_angle_beta 90.00
_cell_angle_gamma 90.00
loop_
_atom_site_label
_atom_site_type_symbol
_atom_site_fract_x
_atom_site_fract_y
_atom_site_fract_z
V1 V 0.0000 0.0000 0.0000
Ga1 Ga 0.0000 0.5000 0.5000
Ru1 Ru 0.5000 0.5000 0.5000
# DOS(E_F) = 1.034 states/eV per atom
# Calculated total energy = -5.0797 eV per atom
# Energy relative to the elements = 40.1 kJ per mole of atoms

The highest DOS(E_F) belongs to which entry? VGa3Ru